# 1
Material: Pm2AlBr
Method: DFT, GGA-PBE
State: relaxed

a b c (Å): 3.7920 3.7920 26.6011
angles (deg): 90.00 90.00 120.00
Space group R3m (No. 160, hexagonal axes)
Unique sites:
Pm 0.0000 0.0000 0.0000 (multiplicity 3)
Pm 0.0000 0.0000 0.1736 (multiplicity 3)
Al 0.0000 0.0000 0.5868 (multiplicity 3)
Br 0.0000 0.0000 0.4192 (multiplicity 3)

Computed properties:
mass density = 5.97 Mg/m³
E above lowest polymorph = 6 meV/atom

=====

# 2
Material: OsPtSe2
Method: DFT, GGA-PBE
State: relaxed

a b c (Å): 2.863 4.954 9.667
angles (deg): 90.00 90.00 90.00
Space group Cmmm (No. 65)
Unique sites:
Os 0.000 0.000 0.000 (multiplicity 2)
Pt 0.000 0.000 0.500 (multiplicity 2)
Se 0.000 0.500 0.224 (multiplicity 4)

Computed properties:
mass density = 13.16 Mg/m³
E above lowest polymorph = 484 meV/atom

=====

# 3
Material: Dy8Ge3Te3P
Method: DFT, GGA-PBE
State: relaxed

a b c (Å): 8.3766 8.3766 21.0422
angles (deg): 90.00 90.00 120.00
Space group R-3m (No. 166, hexagonal axes)
Unique sites:
Dy 0.0000 0.0000 0.2403 (multiplicity 6)
Dy 0.0023 0.5012 0.2391 (multiplicity 18)
Ge 0.0000 0.5000 0.5000 (multiplicity 9)
Te 0.0000 0.5000 0.0000 (multiplicity 9)
P 0.0000 0.0000 0.5000 (multiplicity 3)

Computed properties:
calculated total energy = -5.48 eV per atom
mass density = 7.53 Mg/m³

=====

# 4
Material: Hf3TcPd2
Method: DFT, GGA-PBE
State: relaxed

a b c (Å): 3.269 3.269 10.128
angles (deg): 90.00 90.00 90.00
Space group P4/mmm (No. 123)
Unique sites:
Hf 0.000 0.000 0.000 (multiplicity 1)
Hf 0.000 0.000 0.344 (multiplicity 2)
Tc 0.500 0.500 0.500 (multiplicity 1)
Pd 0.500 0.500 0.173 (multiplicity 2)

Computed properties:
mass density = 12.99 Mg/m³
calculated formation energy = -3.90 eV/f.u.

=====

# 5
Material: BeGaFe2Br
Method: DFT, GGA-PBE
State: relaxed

a b c (Å): 4.776 4.776 4.153
angles (deg): 90.00 90.00 90.00
Space group P4/mmm (No. 123)
Unique sites:
Be 0.000 0.000 0.000 (multiplicity 1)
Ga 0.000 0.000 0.500 (multiplicity 1)
Fe 0.000 0.500 0.500 (multiplicity 2)
Br 0.500 0.500 0.000 (multiplicity 1)

Computed properties:
calculated total energy = -4.08 eV per atom
mass density = 4.74 Mg/m³

=====

# 6
Material: VCd2I
Method: DFT, GGA-PBE
State: relaxed

a b c (Å): 8.726 8.726 5.786
angles (deg): 90.00 90.00 90.00
Space group I-42d (No. 122)
Unique sites:
V 0.000 0.000 0.000 (multiplicity 4)
Cd 0.213 0.750 0.125 (multiplicity 8)
I 0.000 0.000 0.500 (multiplicity 4)

Computed properties:
mass density = 6.07 Mg/m³
E above lowest polymorph = 0 meV/atom

=====

# 7
Material: LiPmTe2
Method: DFT, GGA-PBE
State: relaxed

a b c (Å): 4.4017 4.4017 22.6113
angles (deg): 90.00 90.00 120.00
Space group R3m (No. 160, hexagonal axes)
Unique sites:
Li 0.0000 0.0000 0.0000 (multiplicity 3)
Pm 0.0000 0.0000 0.1746 (multiplicity 3)
Te 0.0000 0.0000 0.5914 (multiplicity 3)
Te 0.0000 0.0000 0.7596 (multiplicity 3)

Computed properties:
calculated total energy = -4.49 eV per atom
mass density = 5.35 Mg/m³

=====

# 8
Material: HfBeAg
Method: DFT, GGA-PBE
State: relaxed

a b c (Å): 2.910 2.910 13.332
angles (deg): 90.00 90.00 90.00
Space group I4mm (No. 107)
Unique sites:
Hf 0.000 0.000 0.000 (multiplicity 2)
Be 0.000 0.000 0.805 (multiplicity 2)
Ag 0.000 0.000 0.210 (multiplicity 2)

Computed properties:
mass density = 8.69 Mg/m³
E above lowest polymorph = 981 meV/atom
calculated formation energy = 2.48 eV/f.u.

=====

# 9
Material: BaPr2Au
Method: DFT, GGA-PBE
State: relaxed

a b c (Å): 3.849 3.849 9.867
angles (deg): 90.00 90.00 90.00
Space group P4/mmm (No. 123)
Unique sites:
Ba 0.000 0.000 0.000 (multiplicity 1)
Pr 0.500 0.500 0.329 (multiplicity 2)
Au 0.000 0.000 0.500 (multiplicity 1)

Computed properties:
mass density = 7.00 Mg/m³
E above lowest polymorph = 0 meV/atom
calculated formation energy = -1.05 eV/f.u.

=====

# 10
Material: BaTiCd
Method: DFT, GGA-PBE
State: relaxed

a b c (Å): 10.767 3.591 9.861
angles (deg): 90.00 90.00 90.00
Space group Pnma (No. 62)
Unique sites:
Ba 0.178 0.250 0.081 (multiplicity 4)
Ti 0.063 0.250 0.430 (multiplicity 4)
Cd 0.079 0.250 0.740 (multiplicity 4)

Computed properties:
mass density = 5.19 Mg/m³
E above lowest polymorph = 108 meV/atom
calculated formation energy = 0.90 eV/f.u.

=====

# 11
Material: Ac6RuPt3
Method: DFT, GGA-PBE
State: relaxed

a b c (Å): 7.318 8.059 13.396
angles (deg): 90.00 122.72 90.00
Space group P2_1/c (No. 14)
Unique sites:
Ac 0.086 0.059 0.245 (multiplicity 4)
Ac 0.253 0.689 0.081 (multiplicity 4)
Ac 0.394 0.178 0.077 (multiplicity 4)
Ru 0.000 0.000 0.000 (multiplicity 2)
Pt 0.303 0.106 0.752 (multiplicity 4)
Pt 0.500 0.000 0.500 (multiplicity 2)

Computed properties:
mass density = 10.23 Mg/m³
calculated formation energy = -7.64 eV/f.u.

=====

# 12
Material: ZrRe2Cl2
Method: DFT, GGA-PBE
State: relaxed

a b c (Å): 3.990 3.990 11.935
angles (deg): 90.00 90.00 90.00
Space group I4/mmm (No. 139)
Unique sites:
Zr 0.000 0.000 0.000 (multiplicity 2)
Re 0.000 0.000 0.404 (multiplicity 4)
Cl 0.000 0.500 0.250 (multiplicity 4)

Computed properties:
calculated total energy = -7.03 eV per atom
mass density = 9.34 Mg/m³

=====

# 13
Material: Rb2SrH2Cl2
Method: DFT, GGA-PBE
State: relaxed

a b c (Å): 4.819 4.819 17.415
angles (deg): 90.00 90.00 90.00
Space group I4/mmm (No. 139)
Unique sites:
Rb 0.000 0.000 0.142 (multiplicity 4)
Sr 0.000 0.000 0.500 (multiplicity 2)
H 0.000 0.500 0.000 (multiplicity 4)
Cl 0.000 0.000 0.333 (multiplicity 4)

Computed properties:
calculated total energy = -3.28 eV per atom
mass density = 2.72 Mg/m³

=====

# 14
Material: SbMo2Pt
Method: DFT, GGA-PBE
State: relaxed

a b c (Å): 2.9630 2.9630 27.1407
angles (deg): 90.00 90.00 120.00
Space group R-3m (No. 166, hexagonal axes)
Unique sites:
Sb 0.0000 0.0000 0.0000 (multiplicity 3)
Mo 0.0000 0.0000 0.2484 (multiplicity 6)
Pt 0.0000 0.0000 0.5000 (multiplicity 3)

Computed properties:
calculated total energy = -7.65 eV per atom
mass density = 12.28 Mg/m³

=====

# 15
Material: Dy2AuC
Method: DFT, GGA-PBE
State: relaxed

a b c (Å): 3.6901 3.6901 21.1112
angles (deg): 90.00 90.00 120.00
Space group R-3m (No. 166, hexagonal axes)
Unique sites:
Dy 0.0000 0.0000 0.2298 (multiplicity 6)
Au 0.0000 0.0000 0.0000 (multiplicity 3)
C 0.0000 0.0000 0.5000 (multiplicity 3)

Computed properties:
mass density = 10.68 Mg/m³
calculated formation energy = -2.04 eV/f.u.

=====

# 16
Material: Er5Tl2Co
Method: DFT, GGA-PBE
State: relaxed

a b c (Å): 5.128 16.708 12.337
angles (deg): 90.00 90.00 90.00
Space group Cmcm (No. 63)
Unique sites:
Er 0.000 0.082 0.106 (multiplicity 8)
Er 0.000 0.290 0.750 (multiplicity 4)
Er 0.000 0.295 0.084 (multiplicity 8)
Tl 0.000 0.105 0.633 (multiplicity 8)
Co 0.000 0.192 0.250 (multiplicity 4)

Computed properties:
mass density = 8.19 Mg/m³
E above lowest polymorph = 331 meV/atom
calculated formation energy = 0.61 eV/f.u.

=====

# 17
Material: La2TeCl
Method: DFT, GGA-PBE
State: relaxed

a b c (Å): 3.833 3.833 7.568
angles (deg): 90.00 90.00 90.00
Space group P4/mmm (No. 123)
Unique sites:
La 0.000 0.000 0.248 (multiplicity 2)
Te 0.500 0.500 0.000 (multiplicity 1)
Cl 0.500 0.500 0.500 (multiplicity 1)

Computed properties:
mass density = 6.58 Mg/m³
E above lowest polymorph = 151 meV/atom

=====

# 18
Material: MnTeMo2C
Method: DFT, GGA-PBE
State: relaxed

a b c (Å): 4.317 4.317 3.853
angles (deg): 90.00 90.00 90.00
Space group P4/mmm (No. 123)
Unique sites:
Mn 0.000 0.000 0.000 (multiplicity 1)
Te 0.500 0.500 0.000 (multiplicity 1)
Mo 0.000 0.500 0.500 (multiplicity 2)
C 0.000 0.000 0.500 (multiplicity 1)

Computed properties:
calculated total energy = -8.38 eV per atom
mass density = 8.94 Mg/m³

=====

# 19
Material: NdSmTmSn
Method: DFT, GGA-PBE
State: relaxed

a b c (Å): 7.758 7.758 7.758
angles (deg): 90.00 90.00 90.00
Space group F-43m (No. 216)
Unique sites:
Nd 0.000 0.000 0.000 (multiplicity 4)
Sm 0.000 0.000 0.500 (multiplicity 4)
Tm 0.250 0.250 0.250 (multiplicity 4)
Sn 0.250 0.250 0.750 (multiplicity 4)

Computed properties:
mass density = 8.28 Mg/m³
calculated formation energy = -1.04 eV/f.u.

=====

# 20
Material: SbAsPd2Pb
Method: DFT, GGA-PBE
State: relaxed

a b c (Å): 4.754 4.754 5.562
angles (deg): 90.00 90.00 90.00
Space group P4/mmm (No. 123)
Unique sites:
Sb 0.000 0.000 0.000 (multiplicity 1)
As 0.500 0.500 0.500 (multiplicity 1)
Pd 0.000 0.500 0.500 (multiplicity 2)
Pb 0.500 0.500 0.000 (multiplicity 1)

Computed properties:
calculated total energy = -4.32 eV per atom
mass density = 8.15 Mg/m³

=====

What did we get for calculated volume? Answer: 331; 137; 1279; 108; 95; 441; 379; 113; 146; 381; 665; 190; 404; 206; 249; 1057; 111; 72; 467; 126 Å³/cell, in the order shown.